# PrNd4Ga, optimized geometry, DFT GGA-PBE
data_PrNd4Ga
_chemical_formula_sum 'Pr1 Nd4 Ga1'
_symmetry_space_group_name_H-M 'P 1'
_symmetry_Int_Tables_number 1
_cell_length_a 3.685
_cell_length_b 3.685
_cell_length_c 14.254
_cell_angle_alpha 90.00
_cell_angle_beta 90.00
_cell_angle_gamma 90.00
loop_
_symmetry_equiv_pos_as_xyz
'x,y,z'
loop_
_atom_site_label
_atom_site_type_symbol
_atom_site_fract_x
_atom_site_fract_y
_atom_site_fract_z
Ga1 Ga 0.500 0.500 0.500
Nd1 Nd 0.000 0.000 0.370
Pr1 Pr 0.000 0.000 0.000
Nd2 Nd 0.000 0.000 0.630
Nd3 Nd 0.500 0.500 0.184
Nd4 Nd 0.500 0.500 0.816
# D(E_F) (states/eV per cell): 8.518
# Energy relative to the lowest polymorph listed for this composition (eV per formula unit): 0.000
# Energy relative to the elements (eV/atom): -0.16



# FeCu2RuPb, optimized geometry, DFT GGA-PBE
data_FeCu2RuPb
_chemical_formula_sum 'Fe1 Cu2 Ru1 Pb1'
_symmetry_space_group_name_H-M 'P 1'
_symmetry_Int_Tables_number 1
_cell_length_a 4.753
_cell_length_b 4.524
_cell_length_c 4.753
_cell_angle_alpha 90.00
_cell_angle_beta 90.00
_cell_angle_gamma 90.00
loop_
_symmetry_equiv_pos_as_xyz
'x,y,z'
loop_
_atom_site_label
_atom_site_type_symbol
_atom_site_fract_x
_atom_site_fract_y
_atom_site_fract_z
Fe1 Fe 0.000 0.500 0.000
Pb1 Pb 0.500 0.500 0.500
Ru1 Ru 0.000 0.000 0.000
Cu1 Cu 0.000 0.000 0.500
Cu2 Cu 0.500 0.000 0.000
# D(E_F) (states/eV per cell): 5.000
# Energy relative to the elements (eV/atom): 1.00



# PrDyYMg, optimized geometry, DFT GGA-PBE
data_PrDyYMg
_chemical_formula_sum 'Pr1 Dy1 Y1 Mg1'
_symmetry_space_group_name_H-M 'P 1'
_symmetry_Int_Tables_number 1
_cell_length_a 5.585
_cell_length_b 5.585
_cell_length_c 5.585
_cell_angle_alpha 60.00
_cell_angle_beta 60.00
_cell_angle_gamma 60.00
loop_
_symmetry_equiv_pos_as_xyz
'x,y,z'
loop_
_atom_site_label
_atom_site_type_symbol
_atom_site_fract_x
_atom_site_fract_y
_atom_site_fract_z
Mg1 Mg 0.000 0.000 0.000
Y1 Y 0.750 0.750 0.750
Dy1 Dy 0.500 0.500 0.500
Pr1 Pr 0.250 0.250 0.250
# D(E_F) (states/eV per cell): 5.693
# Energy relative to the lowest polymorph listed for this composition (eV per formula unit): 0.270
# Energy relative to the elements (eV/atom): 0.04



# CsAl2Cd2, optimized geometry, DFT GGA-PBE
data_CsAl2Cd2
_chemical_formula_sum 'Cs1 Al2 Cd2'
_symmetry_space_group_name_H-M 'P 1'
_symmetry_Int_Tables_number 1
_cell_length_a 4.715
_cell_length_b 4.715
_cell_length_c 7.418
_cell_angle_alpha 71.47
_cell_angle_beta 71.47
_cell_angle_gamma 90.00
loop_
_symmetry_equiv_pos_as_xyz
'x,y,z'
loop_
_atom_site_label
_atom_site_type_symbol
_atom_site_fract_x
_atom_site_fract_y
_atom_site_fract_z
Al1 Al 0.750 0.250 0.500
Cd1 Cd 0.370 0.370 0.260
Al2 Al 0.250 0.750 0.500
Cs1 Cs 0.000 0.000 0.000
Cd2 Cd 0.630 0.630 0.740
# D(E_F) (states/eV per cell): 3.039
# Energy relative to the lowest polymorph listed for this composition (eV per formula unit): 0.000
# Energy relative to the elements (eV/atom): 0.16



Look up the D(E_F) of the third one.
5.693 states/eV per cell



What is the energy relative to the elements in the first record?
-0.16 eV/atom



What is the formula in the fourth record?
CsAl2Cd2